Entry 1:
Computed, not measured: crystalline Cs2PaTlF8 at its relaxed geometry at the PBE level of DFT.

Lattice parameters (Å, degrees): 7.744 7.744 7.744 130.14 130.14 73.18
Fractional positions:
Cs 0.000 0.000 0.000
Cs 0.750 0.250 0.500
Pa 0.250 0.750 0.500
Tl 0.500 0.500 0.000
F 0.159 0.054 0.505
F 0.159 0.654 0.105
F 0.346 0.451 0.505
F 0.346 0.841 0.895
F 0.549 0.054 0.895
F 0.549 0.654 0.495
F 0.946 0.451 0.105
F 0.946 0.841 0.495

Properties
The density of states at the Fermi level comes out at 0.000 states/eV/atom. The space group is No. 119. For the total magnetic moment, the calculation gives 0.00 μB per formula unit. The formation energy (no corrections) is -3.226 eV/atom.


Entry 2:
Computed, not measured: crystalline NaCeBi2 at its relaxed geometry at the PBE level of DFT.

Lattice parameters (Å, degrees): 7.838 7.838 7.838 90.00 90.00 90.00
Fractional positions:
Na 0.000 0.000 0.000
Na 0.000 0.500 0.500
Na 0.500 0.000 0.500
Na 0.500 0.500 0.000
Ce 0.000 0.000 0.500
Ce 0.000 0.500 0.000
Ce 0.500 0.000 0.000
Ce 0.500 0.500 0.500
Bi 0.250 0.250 0.250
Bi 0.250 0.250 0.750
Bi 0.250 0.750 0.250
Bi 0.250 0.750 0.750
Bi 0.750 0.250 0.250
Bi 0.750 0.250 0.750
Bi 0.750 0.750 0.250
Bi 0.750 0.750 0.750

Properties
For the formation energy, the calculation gives -433 meV per atom. The density of states at the Fermi level comes out at 1.675 states/eV/atom. The space group is No. 225. For the total magnetic moment, the calculation gives 0.88 μB per formula unit.


Entry 3:
Computed, not measured: crystalline TaZnRh at its relaxed geometry at the PBE level of DFT.

Lattice parameters (Å, degrees): 4.369 4.369 2.782 90.00 90.00 120.00
Fractional positions:
Ta 0.000 0.000 0.000
Zn 0.333 0.667 0.500
Rh 0.667 0.333 0.500

Properties
For the formation energy, the calculation gives -298 meV per atom. The density of states at the Fermi level comes out at 0.641 states/eV/atom. The space group is No. 187. For the total magnetic moment, the calculation gives 0.00 μB per formula unit.


Entry 4:
Computed, not measured: crystalline CaIrCl at its relaxed geometry at the PBE level of DFT.

Lattice parameters (Å, degrees): 4.699 4.699 5.903 90.00 90.00 90.00
Fractional positions:
Ca 0.250 0.250 0.166
Ca 0.750 0.750 0.834
Ir 0.250 0.250 0.695
Ir 0.750 0.750 0.305
Cl 0.250 0.750 0.500
Cl 0.750 0.250 0.500

Properties
The density of states at the Fermi level comes out at 1.001 states/eV/atom. The space group is No. 129. For the total magnetic moment, the calculation gives 0.81 μB per formula unit. The formation energy (no corrections) is 0.098 eV/atom.


Entry 5:
Computed, not measured: crystalline CsZrCoS3 at its relaxed geometry at the PBE level of DFT.

Lattice parameters (Å, degrees): 9.247 3.722 9.641 90.00 116.41 90.00
Fractional positions:
Cs 0.224 0.250 0.249
Cs 0.776 0.750 0.751
Zr 0.315 0.750 0.839
Zr 0.685 0.250 0.161
Co 0.086 0.250 0.600
Co 0.914 0.750 0.400
S 0.131 0.250 0.854
S 0.185 0.750 0.540
S 0.478 0.750 0.146
S 0.522 0.250 0.854
S 0.815 0.250 0.460
S 0.869 0.750 0.146

Properties
The density of states at the Fermi level comes out at 0.362 states/eV/atom. The space group is No. 11. For the total magnetic moment, the calculation gives 1.45 μB per formula unit. The formation energy (no corrections) is -1.220 eV/atom.


Entry 6:
Computed, not measured: crystalline Al2WSN at its relaxed geometry at the PBE level of DFT.

Lattice parameters (Å, degrees): 4.553 4.553 4.328 90.00 90.00 90.00
Fractional positions:
Al 0.000 0.500 0.000
Al 0.500 0.000 0.000
W 0.000 0.000 0.500
S 0.000 0.000 0.000
N 0.500 0.500 0.500

Properties
The density of states at the Fermi level comes out at 0.701 states/eV/atom. The space group is No. 123. For the total magnetic moment, the calculation gives 0.03 μB per formula unit. The formation energy (no corrections) is 1.759 eV/atom.


Entry 7:
Computed, not measured: crystalline Sc2SnCl at its relaxed geometry at the PBE level of DFT.

Lattice parameters (Å, degrees): 3.315 3.315 29.703 90.00 90.00 120.00
Fractional positions:
Sc 0.000 0.000 0.098
Sc 0.000 0.000 0.902
Sc 0.333 0.667 0.569
Sc 0.333 0.667 0.765
Sc 0.667 0.333 0.235
Sc 0.667 0.333 0.431
Sn 0.000 0.000 0.000
Sn 0.333 0.667 0.667
Sn 0.667 0.333 0.333
Cl 0.000 0.000 0.500
Cl 0.333 0.667 0.167
Cl 0.667 0.333 0.833

Properties
The density of states at the Fermi level comes out at 0.912 states/eV/atom. The space group is No. 166. For the total magnetic moment, the calculation gives 0.00 μB per formula unit. The formation energy (no corrections) is -0.475 eV/atom.


Entry 8:
Computed, not measured: crystalline La2MnGaS at its relaxed geometry at the PBE level of DFT.

Lattice parameters (Å, degrees): 5.655 5.655 4.485 90.00 90.00 90.00
Fractional positions:
La 0.000 0.500 0.000
La 0.500 0.000 0.000
Mn 0.000 0.000 0.500
Ga 0.500 0.500 0.500
S 0.000 0.000 0.000

Properties
The density of states at the Fermi level comes out at 0.747 states/eV/atom. The space group is No. 123. For the total magnetic moment, the calculation gives 3.52 μB per formula unit. The formation energy (no corrections) is -0.594 eV/atom.


Entry 9:
Computed, not measured: crystalline DyTmMnAu at its relaxed geometry at the PBE level of DFT.

Lattice parameters (Å, degrees): 7.109 7.109 7.109 90.00 90.00 90.00
Fractional positions:
Dy 0.000 0.000 0.000
Dy 0.000 0.500 0.500
Dy 0.500 0.000 0.500
Dy 0.500 0.500 0.000
Tm 0.000 0.000 0.500
Tm 0.000 0.500 0.000
Tm 0.500 0.000 0.000
Tm 0.500 0.500 0.500
Mn 0.250 0.250 0.750
Mn 0.250 0.750 0.250
Mn 0.750 0.250 0.250
Mn 0.750 0.750 0.750
Au 0.250 0.250 0.250
Au 0.250 0.750 0.750
Au 0.750 0.250 0.750
Au 0.750 0.750 0.250

Properties
For the formation energy, the calculation gives -270 meV per atom. The density of states at the Fermi level comes out at 1.332 states/eV/atom. The space group is No. 216. For the total magnetic moment, the calculation gives 3.50 μB per formula unit.


Entry 10:
Computed, not measured: crystalline RbInP at its relaxed geometry at the PBE level of DFT.

Lattice parameters (Å, degrees): 4.315 4.315 6.144 90.00 90.00 120.00
Fractional positions:
Rb 0.000 0.000 0.000
In 0.667 0.333 0.536
P 0.333 0.667 0.392

Properties
For the formation energy, the calculation gives -168 meV per atom. The density of states at the Fermi level comes out at 0.922 states/eV/atom. The space group is No. 156. For the total magnetic moment, the calculation gives 0.21 μB per formula unit.


Entry 11:
Computed, not measured: crystalline Er2CdAg4 at its relaxed geometry at the PBE level of DFT.

Lattice parameters (Å, degrees): 9.464 4.687 6.864 90.00 99.77 90.00
Fractional positions:
Er 0.206 0.000 0.176
Er 0.294 0.500 0.824
Er 0.706 0.500 0.176
Er 0.794 0.000 0.824
Cd 0.000 0.500 0.000
Cd 0.500 0.000 0.000
Ag 0.091 0.000 0.700
Ag 0.124 0.500 0.415
Ag 0.376 0.000 0.585
Ag 0.409 0.500 0.300
Ag 0.591 0.500 0.700
Ag 0.624 0.000 0.415
Ag 0.876 0.500 0.585
Ag 0.909 0.000 0.300

Properties
For the formation energy, the calculation gives -210 meV per atom. The density of states at the Fermi level comes out at 0.548 states/eV/atom. The space group is No. 12. For the total magnetic moment, the calculation gives 0.00 μB per formula unit.


Entry 12:
Computed, not measured: crystalline Nd2IrBr3 at its relaxed geometry at the PBE level of DFT.

Lattice parameters (Å, degrees): 9.333 9.333 12.556 124.28 124.28 26.31
Fractional positions:
Nd 0.100 0.100 0.400
Nd 0.375 0.375 0.187
Nd 0.625 0.625 0.813
Nd 0.900 0.900 0.600
Ir 0.054 0.054 0.628
Ir 0.946 0.946 0.372
Br 0.173 0.173 0.032
Br 0.286 0.286 0.403
Br 0.451 0.451 0.799
Br 0.549 0.549 0.201
Br 0.714 0.714 0.597
Br 0.827 0.827 0.968

Properties
The density of states at the Fermi level comes out at 0.027 states/eV/atom. The space group is No. 12. For the total magnetic moment, the calculation gives 0.00 μB per formula unit. The formation energy (no corrections) is -1.324 eV/atom.


Entry 13:
Computed, not measured: crystalline Na4IBr2Cl at its relaxed geometry at the PBE level of DFT.

Lattice parameters (Å, degrees): 7.442 6.111 7.443 65.75 48.49 65.77
Fractional positions:
Na 0.000 0.501 0.000
Na 0.230 0.770 0.230
Na 0.501 0.000 0.499
Na 0.770 0.230 0.770
I 0.500 0.500 0.500
Br 0.250 0.250 0.250
Br 0.750 0.750 0.750
Cl 0.000 0.000 0.000

Properties
The density of states at the Fermi level comes out at 0.000 states/eV/atom. The space group is No. 42. For the total magnetic moment, the calculation gives 0.00 μB per formula unit. The formation energy (no corrections) is -1.527 eV/atom.


Entry 14:
Computed, not measured: crystalline BaHfSbTe2 at its relaxed geometry at the PBE level of DFT.

Lattice parameters (Å, degrees): 6.182 6.182 6.039 90.00 90.00 90.00
Fractional positions:
Ba 0.000 0.000 0.000
Hf 0.500 0.500 0.500
Sb 0.000 0.000 0.500
Te 0.000 0.500 0.000
Te 0.500 0.000 0.000

Properties
The density of states at the Fermi level comes out at 1.312 states/eV/atom. The space group is No. 123. For the total magnetic moment, the calculation gives 0.07 μB per formula unit. The formation energy (no corrections) is 1.118 eV/atom.


Entry 15:
Computed, not measured: crystalline Li2In3Hg6 at its relaxed geometry at the PBE level of DFT.

Lattice parameters (Å, degrees): 4.800 4.874 13.048 83.05 81.74 61.88
Fractional positions:
Li 0.050 0.053 0.368
Li 0.950 0.947 0.632
In 0.232 0.232 0.795
In 0.500 0.500 0.000
In 0.768 0.768 0.205
Hg 0.134 0.132 0.107
Hg 0.315 0.314 0.546
Hg 0.403 0.407 0.300
Hg 0.597 0.593 0.700
Hg 0.685 0.686 0.454
Hg 0.866 0.868 0.893

Properties
For the formation energy, the calculation gives -124 meV per atom. The density of states at the Fermi level comes out at 0.286 states/eV/atom. The space group is No. 2. For the total magnetic moment, the calculation gives 0.00 μB per formula unit.


Entry 16:
Computed, not measured: crystalline InRuAu2O at its relaxed geometry at the PBE level of DFT.

Lattice parameters (Å, degrees): 5.287 5.287 3.659 90.00 90.00 90.00
Fractional positions:
In 0.000 0.000 0.000
Ru 0.500 0.500 0.500
Au 0.000 0.500 0.500
Au 0.500 0.000 0.500
O 0.500 0.500 0.000

Properties
The density of states at the Fermi level comes out at 0.444 states/eV/atom. The space group is No. 123. For the total magnetic moment, the calculation gives 0.00 μB per formula unit. The formation energy (no corrections) is -0.010 eV/atom.


Entry 17:
Computed, not measured: crystalline LiReAs2 at its relaxed geometry at the PBE level of DFT.

Lattice parameters (Å, degrees): 3.270 3.270 6.477 90.00 90.00 90.00
Fractional positions:
Li 0.000 0.000 0.000
Re 0.500 0.500 0.233
As 0.000 0.000 0.406
As 0.500 0.500 0.851

Properties
For the formation energy, the calculation gives 107 meV per atom. The density of states at the Fermi level comes out at 0.750 states/eV/atom. The space group is No. 99. For the total magnetic moment, the calculation gives 0.00 μB per formula unit.


Entry 18:
Computed, not measured: crystalline Y2TaZnAu at its relaxed geometry at the PBE level of DFT.

Lattice parameters (Å, degrees): 5.504 5.504 4.998 90.00 90.00 90.00
Fractional positions:
Y 0.000 0.500 0.000
Y 0.500 0.000 0.000
Ta 0.000 0.000 0.000
Zn 0.500 0.500 0.500
Au 0.000 0.000 0.500

Properties
For the formation energy, the calculation gives 699 meV per atom. The density of states at the Fermi level comes out at 0.815 states/eV/atom. The space group is No. 123. For the total magnetic moment, the calculation gives 0.00 μB per formula unit.


Entry 19:
Computed, not measured: crystalline DyAlZn2Au5 at its relaxed geometry at the PBE level of DFT.

Lattice parameters (Å, degrees): 7.831 7.831 7.831 144.57 136.88 56.99
Fractional positions:
Dy 0.000 0.000 0.000
Al 0.500 0.500 0.000
Zn 0.313 0.813 0.500
Zn 0.687 0.187 0.500
Au 0.088 0.349 0.739
Au 0.390 0.651 0.739
Au 0.500 0.000 0.500
Au 0.610 0.349 0.261
Au 0.912 0.651 0.261

Properties
For the formation energy, the calculation gives -240 meV per atom. The density of states at the Fermi level comes out at 0.482 states/eV/atom. The space group is No. 71. For the total magnetic moment, the calculation gives 0.00 μB per formula unit.


Entry 20:
Computed, not measured: crystalline MgTlSbI2 at its relaxed geometry at the PBE level of DFT.

Lattice parameters (Å, degrees): 5.909 5.909 5.624 90.00 90.00 90.00
Fractional positions:
Mg 0.000 0.000 0.000
Tl 0.500 0.500 0.500
Sb 0.000 0.000 0.500
I 0.000 0.500 0.000
I 0.500 0.000 0.000

Properties
The density of states at the Fermi level comes out at 0.487 states/eV/atom. The space group is No. 123. For the total magnetic moment, the calculation gives 1.70 μB per formula unit. The formation energy (no corrections) is -0.208 eV/atom.